# GGA-PBEsol Co3MoPd, relaxed
# spin magnetization = 1.4 μB/f.u.
# formation energy from the elements = 1.490 eV per atom
data_Co3MoPd
_chemical_formula_sum 'Co3 Mo1 Pd1'
_space_group_name_H-M_alt 'P m -3 m'
_space_group_IT_number 221
_space_group_name_Hall '-P 4 2 3'
_cell_length_a 4.264
_cell_length_b 4.264
_cell_length_c 4.264
_cell_angle_alpha 90.00
_cell_angle_beta 90.00
_cell_angle_gamma 90.00
loop_
_atom_site_label
_atom_site_fract_x
_atom_site_fract_y
_atom_site_fract_z
Co1 0.000 0.000 0.500
Mo1 0.000 0.000 0.000
Pd1 0.500 0.500 0.500